Entry 1:
Density functional theory data (PBE) for crystalline RbLiHg2Br at its relaxed geometry.

Lattice parameters (Å, degrees): 5.1449 5.1449 7.3396 90.00 90.00 90.00
With the nearest neighbours (Å) after each atom.
Space group P4/mmm (No. 123)
Unique sites:
Rb  0.0000  0.0000  0.0000 (multiplicity 1)  4 Br 3.64, 2 Li 3.67
Li  0.0000  0.0000  0.5000 (multiplicity 1)  4 Hg 2.57
Hg  0.0000  0.5000  0.5000 (multiplicity 2)  2 Li 2.57
Br  0.5000  0.5000  0.0000 (multiplicity 1)  4 Rb 3.64

Output
Fermi-level density of states ... 1.649 states/eV/f.u.
ΔE_f (raw) ... -2.57 eV/f.u.
Total DFT energy (no corrections) ... -1.546 eV per atom

***

Entry 2:
Density functional theory data (PBE) for crystalline Rb2LiHgBr5 at its relaxed geometry.

Lattice parameters (Å, degrees): 4.5456 19.6767 14.2108 90.00 90.00 90.00
With the nearest neighbours (Å) after each atom.
Space group Cmc2_1 (No. 36)
Unique sites:
Rb  0.0000  0.1161  0.0000 (multiplicity 4)  7 Br 3.44-3.73
Rb  0.0000  0.1266  0.6104 (multiplicity 4)  7 Br 3.42-3.65
Li  0.0000  0.4249  0.7324 (multiplicity 4)  4 Br 2.47-2.62
Hg  0.0000  0.2112  0.3235 (multiplicity 4)  4 Br 2.65-2.96
Br  0.0000  0.0734  0.3241 (multiplicity 4)  2 Li 2.62, 1 Hg 2.71
Br  0.0000  0.2893  0.9574 (multiplicity 4)  2 Hg 2.96
Br  0.0000  0.3021  0.6745 (multiplicity 4)  1 Li 2.55
Br  0.0000  0.3455  0.3074 (multiplicity 4)  1 Hg 2.65
Br  0.0000  0.4975  0.5910 (multiplicity 4)  1 Li 2.47

Output
Fermi-level density of states ... 0.000 states/eV/f.u.
ΔE_f (raw) ... -11.40 eV/f.u.
Total DFT energy (no corrections) ... -2.657 eV per atom

***

Entry 3:
Density functional theory data (PBE) for crystalline Rb2Li2HgBr6 at its relaxed geometry.

Lattice parameters (Å, degrees): 13.7461 7.7543 8.0684 90.00 116.61 90.00
With the nearest neighbours (Å) after each atom.
Space group C2/m (No. 12)
Unique sites:
Rb  0.2113  0.0000  0.1807 (multiplicity 4)  5 Br 3.44-3.75
Li  0.0689  0.5000  0.2804 (multiplicity 4)  3 Br 2.40-2.44
Hg  0.0000  0.0000  0.5000 (multiplicity 2)  6 Br 2.82-2.98
Br  0.0478  0.2461  0.7834 (multiplicity 8)  1 Li 2.44
Br  0.2392  0.0000  0.6261 (multiplicity 4)  1 Li 2.40

Output
Fermi-level density of states ... 0.000 states/eV/f.u.
ΔE_f (raw) ... -13.83 eV/f.u.
Total DFT energy (no corrections) ... -2.721 eV per atom

***

Entry 4:
Density functional theory data (PBE) for crystalline RbLiHgBr4 at its relaxed geometry.

Lattice parameters (Å, degrees): 6.7380 7.8749 9.4633 90.00 103.24 90.00
With the nearest neighbours (Å) after each atom.
Space group P2_1/m (No. 11)
Unique sites:
Rb  0.2192  0.2500  0.0767 (multiplicity 2)  7 Br 3.60-3.91, 1 Li 3.88
Li  0.3200  0.2500  0.6892 (multiplicity 2)  4 Br 2.54-2.59
Hg  0.1939  0.7500  0.3539 (multiplicity 2)  4 Br 2.58-2.87
Br  0.0833  0.0042  0.7274 (multiplicity 4)  1 Li 2.59, 1 Hg 2.68
Br  0.3650  0.7500  0.1031 (multiplicity 2)  1 Li 2.54
Br  0.4601  0.2500  0.4591 (multiplicity 2)  1 Li 2.56, 1 Hg 2.58

Output
Fermi-level density of states ... 0.000 states/eV/f.u.
ΔE_f (raw) ... -7.83 eV/f.u.
Total DFT energy (no corrections) ... -2.530 eV per atom

***

Entry 5:
Density functional theory data (PBE) for crystalline LiReHgBr6 at its relaxed geometry.

Lattice parameters (Å, degrees): 6.8688 6.8688 13.0620 90.00 90.00 120.00
With the nearest neighbours (Å) after each atom.
Space group P-31c (No. 163)
Unique sites:
Li  0.3333  0.6667  0.2500 (multiplicity 2)  6 Br 2.72
Re  0.3333  0.6667  0.7500 (multiplicity 2)  6 Br 2.53
Hg  0.0000  0.0000  0.0000 (multiplicity 2)  6 Br 3.12
Br  0.0219  0.3821  0.6371 (multiplicity 12)  1 Re 2.53, 1 Li 2.72

Output
Fermi-level density of states ... 1.208 states/eV/f.u.
ΔE_f (raw) ... -4.60 eV/f.u.
Total DFT energy (no corrections) ... -3.256 eV per atom

***

Entry 6:
Density functional theory data (PBE) for crystalline Li2HgRhBr6 at its relaxed geometry.

Lattice parameters (Å, degrees): 6.8594 6.8594 18.9808 90.00 90.00 120.00
With the nearest neighbours (Å) after each atom.
Space group R3 (No. 146, hexagonal axes)
Unique sites:
Li  0.0000  0.0000  0.0000 (multiplicity 3)  6 Br 2.77-2.88
Li  0.0000  0.0000  0.4812 (multiplicity 3)  6 Br 2.74-2.76
Hg  0.0000  0.0000  0.2974 (multiplicity 3)  6 Br 2.88-3.04
Rh  0.0000  0.0000  0.8104 (multiplicity 3)  6 Br 2.54-2.56
Br  0.0292  0.3487  0.4023 (multiplicity 9)  1 Rh 2.56, 2 Li 2.74-2.77
Br  0.0502  0.6868  0.5584 (multiplicity 9)  1 Rh 2.54, 1 Li 2.76

Output
Fermi-level density of states ... 4.169 states/eV/f.u.
ΔE_f (raw) ... -7.56 eV/f.u.
Total DFT energy (no corrections) ... -2.907 eV per atom

***

Entry 7:
Density functional theory data (PBE) for crystalline LiHgSBr at its relaxed geometry.

Lattice parameters (Å, degrees): 4.2527 4.2527 20.4702 90.00 90.00 120.00
With the nearest neighbours (Å) after each atom.
Space group R3m (No. 160, hexagonal axes)
Unique sites:
Li  0.0000  0.0000  0.0000 (multiplicity 3)  1 S 2.48, 3 Br 2.57
Hg  0.0000  0.0000  0.4834 (multiplicity 3)  3 S 2.53
S  0.0000  0.0000  0.1209 (multiplicity 3)  1 Li 2.48, 3 Hg 2.53
Br  0.0000  0.0000  0.6294 (multiplicity 3)  3 Li 2.57

Output
Fermi-level density of states ... 0.006 states/eV/f.u.
ΔE_f (raw) ... -3.23 eV/f.u.
Total DFT energy (no corrections) ... -2.811 eV per atom

***

Entry 8:
Density functional theory data (PBE) for crystalline Li2HgSbBr6 at its relaxed geometry.

Lattice parameters (Å, degrees): 6.9951 6.9956 8.4427 65.61 65.59 60.02
With the nearest neighbours (Å) after each atom.
Space group P-1 (No. 2)
Unique sites:
Li  0.1700  0.1704  0.4894 (multiplicity 2)  6 Br 2.78-2.82
Hg  0.0000  0.0000  0.0000 (multiplicity 1)  6 Br 3.14-3.15
Sb  0.5000  0.5000  0.5000 (multiplicity 1)  6 Br 2.82
Br  0.0967  0.4249  0.7105 (multiplicity 2)  2 Li 2.78-2.82, 1 Sb 2.82
Br  0.2310  0.9029  0.2895 (multiplicity 2)  2 Li 2.78-2.82, 1 Sb 2.82
Br  0.4248  0.7691  0.7104 (multiplicity 2)  2 Li 2.78-2.82, 1 Sb 2.82

Output
Fermi-level density of states ... 4.358 states/eV/f.u.
ΔE_f (raw) ... -8.56 eV/f.u.
Total DFT energy (no corrections) ... -2.685 eV per atom

***

The lowest total DFT energy (no corrections) belongs to which entry?
LiReHgBr6